! CsCuSnTe3 PBE optimized geometry; values from VASP
&SYSTEM
  ibrav = 0, nat = 12, ntyp = 4
/
ATOMIC_SPECIES
Cs 132.91 Cs.upf
Cu 63.55 Cu.upf
Sn 118.71 Sn.upf
Te 127.60 Te.upf
CELL_PARAMETERS angstrom
8.770 -2.412 0.000
8.770 2.412 0.000
-0.464 0.000 10.001
ATOMIC_POSITIONS crystal
Cs 0.153 0.153 0.096
Cs 0.847 0.847 0.904
Cu 0.491 0.491 0.632
Cu 0.509 0.509 0.368
Sn 0.165 0.165 0.594
Sn 0.835 0.835 0.406
Te 0.000 0.000 0.500
Te 0.338 0.338 0.613
Te 0.384 0.384 0.217
Te 0.500 0.500 0.000
Te 0.616 0.616 0.783
Te 0.662 0.662 0.387
! relative energy among the computed polymorphs	81.4	meV per atom
! crystal system	monoclinic



! Li5As7Pd9 PBE optimized geometry; values from VASP
&SYSTEM
  ibrav = 0, nat = 21, ntyp = 3
/
ATOMIC_SPECIES
Li 6.94 Li.upf
As 74.92 As.upf
Pd 106.42 Pd.upf
CELL_PARAMETERS angstrom
10.080 0.000 0.000
-5.040 8.730 0.000
0.000 0.000 4.044
ATOMIC_POSITIONS crystal
Li 0.000 0.000 0.000
Li 0.222 0.458 0.000
Li 0.236 0.778 0.000
Li 0.542 0.764 0.000
Li 0.667 0.333 0.500
As 0.036 0.792 0.500
As 0.208 0.244 0.500
As 0.333 0.667 0.500
As 0.459 0.079 0.000
As 0.620 0.541 0.000
As 0.756 0.964 0.500
As 0.921 0.380 0.000
Pd 0.048 0.549 0.500
Pd 0.276 0.040 0.500
Pd 0.376 0.275 0.000
Pd 0.451 0.499 0.500
Pd 0.501 0.952 0.500
Pd 0.725 0.102 0.000
Pd 0.764 0.724 0.500
Pd 0.898 0.624 0.000
Pd 0.960 0.236 0.500
! crystal system	hexagonal



! TaNiBiW PBE optimized geometry; values from VASP
&SYSTEM
  ibrav = 0, nat = 16, ntyp = 4
/
ATOMIC_SPECIES
Ta 180.95 Ta.upf
Ni 58.69 Ni.upf
Bi 208.98 Bi.upf
W 183.84 W.upf
CELL_PARAMETERS angstrom
6.578 0.000 0.000
0.000 6.578 0.000
0.000 0.000 6.578
ATOMIC_POSITIONS crystal
Ta 0.000 0.000 0.000
Ta 0.000 0.500 0.500
Ta 0.500 0.000 0.500
Ta 0.500 0.500 0.000
Ni 0.000 0.000 0.500
Ni 0.000 0.500 0.000
Ni 0.500 0.000 0.000
Ni 0.500 0.500 0.500
Bi 0.250 0.250 0.250
Bi 0.250 0.750 0.750
Bi 0.750 0.250 0.750
Bi 0.750 0.750 0.250
W 0.250 0.250 0.750
W 0.250 0.750 0.250
W 0.750 0.250 0.250
W 0.750 0.750 0.750
! magnetic moment	0.0	μB per cell
! crystal system	cubic



! Zn2CoAs PBE optimized geometry; values from VASP
&SYSTEM
  ibrav = 0, nat = 16, ntyp = 3
/
ATOMIC_SPECIES
Zn 65.41 Zn.upf
Co 58.93 Co.upf
As 74.92 As.upf
CELL_PARAMETERS angstrom
6.074 0.000 0.000
0.000 6.074 0.000
0.000 0.000 6.074
ATOMIC_POSITIONS crystal
Zn 0.000 0.000 0.000
Zn 0.000 0.500 0.500
Zn 0.250 0.250 0.250
Zn 0.250 0.750 0.750
Zn 0.500 0.000 0.500
Zn 0.500 0.500 0.000
Zn 0.750 0.250 0.750
Zn 0.750 0.750 0.250
Co 0.250 0.250 0.750
Co 0.250 0.750 0.250
Co 0.750 0.250 0.250
Co 0.750 0.750 0.750
As 0.000 0.000 0.500
As 0.000 0.500 0.000
As 0.500 0.000 0.000
As 0.500 0.500 0.500
! magnetic moment	0.0	μB per cell
! crystal system	cubic



! Dy2AgS3 PBE optimized geometry; values from VASP
&SYSTEM
  ibrav = 0, nat = 24, ntyp = 3
/
ATOMIC_SPECIES
Dy 162.50 Dy.upf
Ag 107.87 Ag.upf
S 32.06 S.upf
CELL_PARAMETERS angstrom
10.150 0.000 0.000
0.000 3.833 0.000
0.000 0.000 13.028
ATOMIC_POSITIONS crystal
Dy 0.026 0.250 0.246
Dy 0.216 0.750 0.522
Dy 0.284 0.250 0.022
Dy 0.474 0.750 0.746
Dy 0.526 0.250 0.254
Dy 0.716 0.750 0.978
Dy 0.784 0.250 0.478
Dy 0.974 0.750 0.754
Ag 0.225 0.250 0.738
Ag 0.275 0.750 0.238
Ag 0.725 0.250 0.762
Ag 0.775 0.750 0.262
S 0.039 0.250 0.605
S 0.100 0.750 0.104
S 0.232 0.750 0.866
S 0.268 0.250 0.366
S 0.400 0.250 0.604
S 0.461 0.750 0.105
S 0.539 0.250 0.895
S 0.600 0.750 0.396
S 0.732 0.750 0.634
S 0.768 0.250 0.134
S 0.900 0.250 0.896
S 0.961 0.750 0.395
! relative energy among the computed polymorphs	32.4	meV per atom
! magnetic moment	0.0	μB per cell
! crystal system	orthorhombic



! Fe3Sn2Ge PBE optimized geometry; values from VASP
&SYSTEM
  ibrav = 0, nat = 6, ntyp = 3
/
ATOMIC_SPECIES
Fe 55.84 Fe.upf
Sn 118.71 Sn.upf
Ge 72.64 Ge.upf
CELL_PARAMETERS angstrom
5.104 0.000 0.000
-2.552 4.420 0.000
0.000 0.000 4.539
ATOMIC_POSITIONS crystal
Fe 0.000 0.500 0.000
Fe 0.500 0.000 0.000
Fe 0.500 0.500 0.000
Sn 0.333 0.667 0.500
Sn 0.667 0.333 0.500
Ge 0.000 0.000 0.000
! magnetic moment	5.9	μB per cell
! crystal system	hexagonal



! Tm2Cu2SiGe PBE optimized geometry; values from VASP
&SYSTEM
  ibrav = 0, nat = 6, ntyp = 4
/
ATOMIC_SPECIES
Tm 168.93 Tm.upf
Cu 63.55 Cu.upf
Si 28.09 Si.upf
Ge 72.64 Ge.upf
CELL_PARAMETERS angstrom
4.208 0.000 0.000
-2.104 3.644 0.000
0.000 0.000 7.013
ATOMIC_POSITIONS crystal
Tm 0.000 0.000 0.000
Tm 0.000 0.000 0.497
Cu 0.333 0.667 0.214
Cu 0.667 0.333 0.701
Si 0.667 0.333 0.276
Ge 0.333 0.667 0.776
! magnetic moment	0.0	μB per cell
! crystal system	trigonal



! NpZnB PBE optimized geometry; values from VASP
&SYSTEM
  ibrav = 0, nat = 12, ntyp = 3
/
ATOMIC_SPECIES
Np 237.00 Np.upf
Zn 65.41 Zn.upf
B 10.81 B.upf
CELL_PARAMETERS angstrom
6.187 0.000 0.000
0.000 6.187 0.000
0.000 0.000 6.187
ATOMIC_POSITIONS crystal
Np 0.000 0.000 0.000
Np 0.000 0.500 0.500
Np 0.500 0.000 0.500
Np 0.500 0.500 0.000
Zn 0.250 0.250 0.250
Zn 0.250 0.750 0.750
Zn 0.750 0.250 0.750
Zn 0.750 0.750 0.250
B 0.250 0.250 0.750
B 0.250 0.750 0.250
B 0.750 0.250 0.250
B 0.750 0.750 0.750
! relative energy among the computed polymorphs	813.1	meV per atom
! magnetic moment	15.6	μB per cell
! crystal system	cubic



! YTaSn2 PBE optimized geometry; values from VASP
&SYSTEM
  ibrav = 0, nat = 16, ntyp = 3
/
ATOMIC_SPECIES
Y 88.91 Y.upf
Ta 180.95 Ta.upf
Sn 118.71 Sn.upf
CELL_PARAMETERS angstrom
7.232 0.000 0.000
0.000 7.232 0.000
0.000 0.000 7.232
ATOMIC_POSITIONS crystal
Y 0.000 0.000 0.000
Y 0.000 0.500 0.500
Y 0.500 0.000 0.500
Y 0.500 0.500 0.000
Ta 0.250 0.250 0.750
Ta 0.250 0.750 0.250
Ta 0.750 0.250 0.250
Ta 0.750 0.750 0.750
Sn 0.000 0.000 0.500
Sn 0.000 0.500 0.000
Sn 0.250 0.250 0.250
Sn 0.250 0.750 0.750
Sn 0.500 0.000 0.000
Sn 0.500 0.500 0.500
Sn 0.750 0.250 0.750
Sn 0.750 0.750 0.250
! magnetic moment	1.8	μB per cell
! crystal system	cubic



! Er2Sb PBE optimized geometry; values from VASP
&SYSTEM
  ibrav = 0, nat = 12, ntyp = 2
/
ATOMIC_SPECIES
Er 167.26 Er.upf
Sb 121.76 Sb.upf
CELL_PARAMETERS angstrom
6.608 0.000 0.000
0.000 4.783 0.000
0.000 0.000 10.151
ATOMIC_POSITIONS crystal
Er 0.087 0.250 0.215
Er 0.162 0.250 0.551
Er 0.338 0.750 0.051
Er 0.413 0.750 0.715
Er 0.587 0.250 0.285
Er 0.662 0.250 0.949
Er 0.838 0.750 0.449
Er 0.913 0.750 0.785
Sb 0.182 0.250 0.875
Sb 0.318 0.750 0.375
Sb 0.682 0.250 0.625
Sb 0.818 0.750 0.125
! magnetic moment	0.0	μB per cell
! crystal system	orthorhombic



! Zr2Fe3Sn2 PBE optimized geometry; values from VASP
&SYSTEM
  ibrav = 0, nat = 7, ntyp = 3
/
ATOMIC_SPECIES
Zr 91.22 Zr.upf
Fe 55.84 Fe.upf
Sn 118.71 Sn.upf
CELL_PARAMETERS angstrom
2.202 1.271 7.111
-2.202 1.271 7.111
0.000 -2.542 7.111
ATOMIC_POSITIONS crystal
Zr 0.000 0.000 0.000
Zr 0.490 0.490 0.490
Fe 0.365 0.365 0.365
Fe 0.618 0.618 0.618
Fe 0.873 0.873 0.873
Sn 0.241 0.241 0.241
Sn 0.747 0.747 0.747
! magnetic moment	2.0	μB per cell
! crystal system	trigonal



! LiScSbIr PBE optimized geometry; values from VASP
&SYSTEM
  ibrav = 0, nat = 16, ntyp = 4
/
ATOMIC_SPECIES
Li 6.94 Li.upf
Sc 44.96 Sc.upf
Sb 121.76 Sb.upf
Ir 192.22 Ir.upf
CELL_PARAMETERS angstrom
6.540 0.000 0.000
0.000 6.540 0.000
0.000 0.000 6.540
ATOMIC_POSITIONS crystal
Li 0.000 0.000 0.000
Li 0.000 0.500 0.500
Li 0.500 0.000 0.500
Li 0.500 0.500 0.000
Sc 0.000 0.000 0.500
Sc 0.000 0.500 0.000
Sc 0.500 0.000 0.000
Sc 0.500 0.500 0.500
Sb 0.250 0.250 0.250
Sb 0.250 0.750 0.750
Sb 0.750 0.250 0.750
Sb 0.750 0.750 0.250
Ir 0.250 0.250 0.750
Ir 0.250 0.750 0.250
Ir 0.750 0.250 0.250
Ir 0.750 0.750 0.750
! relative energy among the computed polymorphs	295.1	meV per atom
! magnetic moment	0.0	μB per cell
! crystal system	cubic



| no. | VASP energy (eV/atom) |
| --- | --- |
| 1 | -3.339 |
| 2 | -4.753 |
| 3 | -7.861 |
| 4 | -3.361 |
| 5 | -5.498 |
| 6 | -6.271 |
| 7 | -5.072 |
| 8 | -5.779 |
| 9 | -6.227 |
| 10 | -5.114 |
| 11 | -7.370 |
| 12 | -5.805 |